[1]
In2Ni2Pb: relaxed, GGA-PBE.

a = 4.223 Å, b = 4.223 Å, c = 11.397 Å
α = 90.00°, β = 90.00°, γ = 90.00°
Space group I4/mmm (No. 139)
Asymmetric unit:
In1 0.000 0.500 0.250
Ni1 0.000 0.000 0.105
Pb1 0.000 0.000 0.500

Computed properties:
The density is 9058 kg/m3. The total energy comes out at -20.022 eV per formula unit. The formation energy is 0.7 eV/f.u. Its crystal system is tetragonal.



[2]
TlVNi2N: relaxed, GGA-PBE.

a = 4.713 Å, b = 4.713 Å, c = 5.140 Å
α = 90.00°, β = 90.00°, γ = 90.00°
Space group P4/mmm (No. 123)
Asymmetric unit:
Tl1 0.000 0.000 0.000
V1 0.000 0.000 0.500
Ni1 0.000 0.500 0.000
N1 0.500 0.500 0.500

Computed properties:
The density is 5624 kg/m3. The total energy comes out at -18.351 eV per formula unit. The formation energy (no corrections) is 13.021 eV/f.u. Its crystal system is tetragonal.



[3]
CaNd6Dy5: relaxed, GGA-PBE.

a = 11.974 Å, b = 10.947 Å, c = 6.301 Å
α = 90.00°, β = 100.24°, γ = 90.00°
Space group C2/m (No. 12)
Asymmetric unit:
Ca1 0.000 0.000 0.000
Nd1 0.246 0.329 0.748
Nd2 0.248 0.500 0.259
Dy1 0.000 0.171 0.500
Dy2 0.000 0.338 0.000
Dy3 0.000 0.500 0.500

Computed properties:
The density is 7020 kg/m3. The total energy comes out at -53.246 eV per formula unit. The formation energy is 0.4 eV/f.u. Its crystal system is monoclinic.



[4]
Rb3H12Pd5: relaxed, GGA-PBE.

a = 12.639 Å, b = 12.639 Å, c = 12.639 Å
α = 90.00°, β = 90.00°, γ = 90.00°
Space group Ia-3d (No. 230)
Asymmetric unit:
Rb1 0.000 0.250 0.125
H1 0.021 0.128 0.947
Pd1 0.000 0.000 0.000
Pd2 0.000 0.250 0.375

Computed properties:
The density is 5267 kg/m3. The total energy comes out at -68.851 eV per formula unit. Its crystal system is cubic.



[5]
PrDy7Th3: relaxed, GGA-PBE.

a = 7.0812 Å, b = 7.0812 Å, c = 8.5948 Å
α = 90.00°, β = 90.00°, γ = 120.00°
Space group P3m1 (No. 156)
Asymmetric unit:
Pr1 0.0000 0.0000 0.0000
Dy1 0.0032 0.5016 0.0038
Dy2 0.3319 0.1659 0.3436
Dy3 0.3333 0.6667 0.3440
Th1 0.1679 0.3358 0.6713

Computed properties:
The density is 8785 kg/m3. The total energy comes out at -56.857 eV per formula unit. The formation energy is 2.4 eV/f.u. For the energy above the most stable polymorph in this dataset, the calculation gives 67 meV/atom. Its crystal system is trigonal.



[6]
Ba2ZnHRh: relaxed, GGA-PBE.

a = 6.882 Å, b = 4.472 Å, c = 9.375 Å
α = 90.00°, β = 108.65°, γ = 90.00°
Space group P2_1/m (No. 11)
Asymmetric unit:
Ba1 0.226 0.250 0.400
Ba2 0.241 0.250 0.966
Zn1 0.348 0.750 0.710
H1 0.203 0.750 0.169
Rh1 0.466 0.750 0.243

Computed properties:
The density is 5394 kg/m3. The total energy comes out at -17.581 eV per formula unit. For the energy above the most stable polymorph in this dataset, the calculation gives 0 meV/atom. Its crystal system is monoclinic.



[7]
DyErSiIr: relaxed, GGA-PBE.

a = 3.954 Å, b = 4.161 Å, c = 10.531 Å
α = 90.00°, β = 90.00°, γ = 90.00°
Space group Amm2 (No. 38)
Asymmetric unit:
Dy1 0.000 0.000 0.000
Er1 0.500 0.000 0.283
Si1 0.500 0.000 0.576
Ir1 0.000 0.000 0.720

Computed properties:
The density is 10544 kg/m3. The total energy comes out at -26.972 eV per formula unit. The formation energy (no corrections) is -3.523 eV/f.u. Its crystal system is orthorhombic.



[8]
Na4Hf3MgTe8: relaxed, GGA-PBE.

a = 8.3391 Å, b = 8.3391 Å, c = 22.8804 Å
α = 90.00°, β = 90.00°, γ = 120.00°
Space group R-3m (No. 166, hexagonal axes)
Asymmetric unit:
Na1 0.0000 0.0000 0.0000
Na2 0.0000 0.5000 0.0000
Hf1 0.0000 0.5000 0.5000
Mg1 0.0000 0.0000 0.5000
Te1 0.0000 0.0000 0.2405
Te2 0.0028 0.5014 0.7600

Computed properties:
The density is 6047 kg/m3. The total energy comes out at -75.529 eV per formula unit. The formation energy (no corrections) is -13.665 eV/f.u. Its crystal system is trigonal.



[9]
SmGe4Pd2: relaxed, GGA-PBE.

a = 17.412 Å, b = 4.401 Å, c = 6.852 Å
α = 90.00°, β = 90.00°, γ = 90.00°
Space group Pnma (No. 62)
Asymmetric unit:
Sm1 0.142 0.250 0.018
Ge1 0.038 0.750 0.856
Ge2 0.064 0.250 0.469
Ge3 0.178 0.750 0.330
Ge4 0.193 0.750 0.738
Pd1 0.029 0.750 0.236
Pd2 0.212 0.250 0.545

Computed properties:
The density is 8271 kg/m3. The total energy comes out at -37.279 eV per formula unit. The formation energy is -3.7 eV/f.u. Its crystal system is orthorhombic.



[10]
NbHRhW2: relaxed, GGA-PBE.

a = 4.960 Å, b = 4.960 Å, c = 3.143 Å
α = 90.00°, β = 90.00°, γ = 90.00°
Space group P4/mmm (No. 123)
Asymmetric unit:
Nb1 0.000 0.000 0.000
H1 0.000 0.000 0.500
Rh1 0.500 0.500 0.500
W1 0.000 0.500 0.000

Computed properties:
The density is 12123 kg/m3. The total energy comes out at -40.148 eV per formula unit. For the energy above the most stable polymorph in this dataset, the calculation gives 1250 meV/atom. Its crystal system is tetragonal.



[11]
NdPbO4: relaxed, GGA-PBE.

a = 5.713 Å, b = 5.713 Å, c = 10.414 Å
α = 90.00°, β = 90.00°, γ = 90.00°
Space group I4_1/amd (No. 141, origin choice 2)
Asymmetric unit:
Nd1 0.000 0.250 0.375
Pb1 0.000 0.250 0.875
O1 0.235 0.000 0.000

Computed properties:
The density is 8120 kg/m3. The total energy comes out at -38.133 eV per formula unit. The formation energy (no corrections) is -9.824 eV/f.u. Its crystal system is tetragonal.



[12]
Ba3CuAg2O6: relaxed, GGA-PBE.

a = 5.9888 Å, b = 5.9888 Å, c = 6.7388 Å
α = 90.00°, β = 90.00°, γ = 120.00°
Space group P-3m1 (No. 164)
Asymmetric unit:
Ba1 0.0000 0.0000 0.0000
Ba2 0.3333 0.6667 0.6271
Cu1 0.0000 0.0000 0.5000
Ag1 0.3333 0.6667 0.1431
O1 0.1582 0.3165 0.3238

Computed properties:
The density is 6246 kg/m3. The total energy comes out at -60.208 eV per formula unit. The formation energy (no corrections) is -14.892 eV/f.u. Its crystal system is trigonal.



What did the ninth record say?
SmGe4Pd2: relaxed, GGA-PBE.

a = 17.412 Å, b = 4.401 Å, c = 6.852 Å
α = 90.00°, β = 90.00°, γ = 90.00°
Space group Pnma (No. 62)
Asymmetric unit:
Sm1 0.142 0.250 0.018
Ge1 0.038 0.750 0.856
Ge2 0.064 0.250 0.469
Ge3 0.178 0.750 0.330
Ge4 0.193 0.750 0.738
Pd1 0.029 0.750 0.236
Pd2 0.212 0.250 0.545

Computed properties:
The density is 8271 kg/m3. The total energy comes out at -37.279 eV per formula unit. The formation energy is -3.7 eV/f.u. Its crystal system is orthorhombic.